# meta-GGA SCAN LaAl2Se, single point on PBEsol structure
# - N(E_F): 2.09 states/eV/cell
# - M_tot: 0.0 μB/f.u.
# - V: 92.87 Å³/f.u.
# - Polymorph energy (0 for the lowest one): 0 meV/atom
# - Raw formation energy: -607 meV/atom
data_LaAl2Se
_cell_length_a 3.5920
_cell_length_b 4.6771
_cell_length_c 5.5278
_cell_angle_alpha 90.00
_cell_angle_beta 90.00
_cell_angle_gamma 90.00
_symmetry_space_group_name_H-M 'P 1'
_symmetry_Int_Tables_number 1
_symmetry_space_group_name_Hall 'P 1'
loop_
_atom_site_label
_atom_site_type_symbol
_atom_site_fract_x
_atom_site_fract_y
_atom_site_fract_z
La1 La 0.0000 0.0000 0.0000
Al1 Al 0.5000 0.0000 0.5143
Al2 Al 0.5000 0.5000 0.7274
Se1 Se 0.5000 0.5000 0.1951